# 1
Density functional theory data (PBE) for an optimized crystal structure of SrLi3Zn2.

E above lowest polymorph: 0.000 eV/atom

abc: 10.0346 10.0346 4.5985
angles: 90.00 90.00 120.00
With the nearest neighbours (Å) after each atom.
Fractional positions:
Sr (0.0000, 0.0000, 0.0000)  6 Zn 3.21
Sr (0.3333, 0.6667, 0.5000)  6 Zn 3.46, 12 Li 3.55-3.70
Sr (0.6667, 0.3333, 0.5000)  6 Zn 3.46, 12 Li 3.55-3.70
Li (0.0000, 0.2953, 0.5000)  4 Zn 2.81, 4 Li 2.96-3.08
Li (0.0000, 0.5000, 0.0000)  4 Zn 2.75, 4 Li 3.08
Li (0.0000, 0.7047, 0.5000)  4 Zn 2.81, 4 Li 2.96-3.08
Li (0.2953, 0.0000, 0.5000)  4 Zn 2.81, 4 Li 2.96-3.08
Li (0.2953, 0.2953, 0.5000)  4 Zn 2.81, 4 Li 2.96-3.08
Li (0.5000, 0.0000, 0.0000)  4 Zn 2.75, 4 Li 3.08
Li (0.5000, 0.5000, 0.0000)  4 Zn 2.75, 4 Li 3.08
Li (0.7047, 0.0000, 0.5000)  4 Zn 2.81, 4 Li 2.96-3.08
Li (0.7047, 0.7047, 0.5000)  4 Zn 2.81, 4 Li 2.96-3.08
Zn (0.1845, 0.3691, 0.0000)  6 Li 2.75-2.81
Zn (0.1845, 0.8155, 0.0000)  6 Li 2.75-2.81
Zn (0.3691, 0.1845, 0.0000)  6 Li 2.75-2.81
Zn (0.6309, 0.8155, 0.0000)  6 Li 2.75-2.81
Zn (0.8155, 0.1845, 0.0000)  6 Li 2.75-2.81
Zn (0.8155, 0.6309, 0.0000)  6 Li 2.75-2.81



# 2
Density functional theory data (PBE) for an optimized crystal structure of SrLi4Zn.

E above lowest polymorph: 0.000 eV/atom

abc: 8.5549 4.3412 7.9643
angles: 90.00 90.00 90.00
With the nearest neighbours (Å) after each atom.
Fractional positions:
Sr (0.2500, 0.0000, 0.1010)  1 Zn 3.22
Sr (0.7500, 0.0000, 0.8990)  1 Zn 3.22
Li (0.0000, 0.0000, 0.5000)  2 Zn 2.65
Li (0.0671, 0.5000, 0.7767)  2 Zn 2.75, 1 Li 2.90
Li (0.2500, 0.5000, 0.4702)  2 Zn 2.82, 6 Li 2.90-3.06
Li (0.4329, 0.5000, 0.7767)  2 Zn 2.75, 1 Li 2.90
Li (0.5000, 0.0000, 0.5000)  2 Zn 2.65
Li (0.5671, 0.5000, 0.2233)  2 Zn 2.75, 1 Li 2.90
Li (0.7500, 0.5000, 0.5298)  2 Zn 2.82, 6 Li 2.90-3.06
Li (0.9329, 0.5000, 0.2233)  2 Zn 2.75, 1 Li 2.90
Zn (0.2500, 0.0000, 0.6968)  8 Li 2.65-2.82
Zn (0.7500, 0.0000, 0.3032)  8 Li 2.65-2.82



# 3
Density functional theory data (PBE) for an optimized crystal structure of Sr3Li3Zn.

calculated total energy: -12.2 eV per cell

abc: 11.3337 11.3337 11.3337
angles: 157.34 154.72 34.21
With the nearest neighbours (Å) after each atom.
Fractional positions:
Sr (0.0000, 0.0000, 0.0000)  7 Li 3.55-3.86
Sr (0.3729, 0.3729, 0.0000)  2 Zn 3.34, 4 Li 3.51
Sr (0.6984, 0.1984, 0.5000)  8 Li 3.48-3.80, 4 Zn 3.57
Li (0.1332, 0.6332, 0.5000)  1 Zn 2.70, 2 Li 2.99
Li (0.5566, 0.5566, 0.0000)  2 Li 2.99
Li (0.8216, 0.8216, 0.0000)  2 Zn 2.84
Zn (0.2580, 0.7580, 0.5000)  3 Li 2.70-2.84



# 4
Density functional theory data (PBE) for an optimized crystal structure of Sr4LiZn.

E above lowest polymorph: 0.000 eV/atom

abc: 4.0935 4.0935 14.3858
angles: 90.00 90.00 90.00
With the nearest neighbours (Å) after each atom.
Fractional positions:
Sr (0.0000, 0.0000, 0.1294)  4 Zn 3.44, 1 Sr 3.72
Sr (0.0000, 0.0000, 0.8706)  4 Zn 3.44, 1 Sr 3.72
Sr (0.5000, 0.5000, 0.3512)  4 Li 3.60
Sr (0.5000, 0.5000, 0.6488)  4 Li 3.60
Li (0.0000, 0.0000, 0.5000)  8 Sr 3.60
Zn (0.5000, 0.5000, 0.0000)  8 Sr 3.44



# 5
Density functional theory data (PBE) for an optimized crystal structure of SrLiZn2.

E above lowest polymorph: 0.134 eV/atom

abc: 4.9933 4.9933 4.9933
angles: 119.28 119.28 91.26
With the nearest neighbours (Å) after each atom.
Fractional positions:
Sr (0.0000, 0.0000, 0.0000)  4 Li 3.07, 4 Zn 3.07
Li (0.7500, 0.2500, 0.5000)  4 Sr 3.07, 4 Zn 3.07
Zn (0.2500, 0.7500, 0.5000)  4 Sr 3.07, 4 Zn 3.07
Zn (0.5000, 0.5000, 0.0000)  4 Li 3.07, 4 Zn 3.07



# 6
Density functional theory data (PBE) for an optimized crystal structure of SrLi2Zn.

calculated total energy: -7.0 eV per cell

abc: 6.1795 6.1795 6.1795
angles: 44.14 44.14 44.14
With the nearest neighbours (Å) after each atom.
Fractional positions:
Sr (0.0000, 0.0000, 0.0000)  8 Li 3.34-3.49
Li (0.1999, 0.1999, 0.1999)  3 Zn 2.74, 3 Li 2.90
Li (0.8001, 0.8001, 0.8001)  3 Zn 2.74, 3 Li 2.90
Zn (0.5000, 0.5000, 0.5000)  6 Li 2.74



# 7
Density functional theory data (PBE) for an optimized crystal structure of Sr3LiZn2.

calculated total energy: -10.2 eV per cell

abc: 3.9778 3.9778 12.1904
angles: 90.00 90.00 90.00
With the nearest neighbours (Å) after each atom.
Fractional positions:
Sr (0.0000, 0.0000, 0.0000)  8 Zn 3.46, 2 Sr 3.82
Sr (0.0000, 0.0000, 0.3137)  4 Zn 3.35, 4 Li 3.61
Sr (0.0000, 0.0000, 0.6863)  4 Zn 3.35, 4 Li 3.61
Li (0.5000, 0.5000, 0.5000)  8 Sr 3.61, 4 Li 3.98
Zn (0.5000, 0.5000, 0.1647)  8 Sr 3.35-3.46
Zn (0.5000, 0.5000, 0.8353)  8 Sr 3.35-3.46



# 8
Density functional theory data (PBE) for an optimized crystal structure of Sr6LiZn.

calculated total energy: -13.5 eV per cell

abc: 11.0785 11.0785 11.0785
angles: 149.55 149.55 43.61
With the nearest neighbours (Å) after each atom.
Fractional positions:
Sr (0.0954, 0.5954, 0.5000)  2 Zn 3.51, 2 Li 3.51, 1 Sr 3.92
Sr (0.2485, 0.2485, 0.0000)  12 Sr 4.12-4.33
Sr (0.4046, 0.9046, 0.5000)  2 Li 3.51, 2 Zn 3.51, 1 Sr 3.92
Sr (0.5954, 0.0954, 0.5000)  2 Zn 3.51, 2 Li 3.51, 1 Sr 3.92
Sr (0.7515, 0.7515, 0.0000)  12 Sr 4.12-4.33
Sr (0.9046, 0.4046, 0.5000)  2 Li 3.51, 2 Zn 3.51, 1 Sr 3.92
Li (0.0000, 0.0000, 0.0000)  8 Sr 3.51
Zn (0.5000, 0.5000, 0.0000)  8 Sr 3.51



# 9
Density functional theory data (PBE) for an optimized crystal structure of SrLiZn2.

E above lowest polymorph: 0.185 eV/atom

abc: 4.8913 4.8913 4.2273
angles: 90.00 90.00 90.00
With the nearest neighbours (Å) after each atom.
Fractional positions:
Sr (0.0000, 0.0000, 0.0000)  8 Zn 3.23, 4 Li 3.46
Li (0.5000, 0.5000, 0.0000)  8 Zn 3.23, 4 Sr 3.46
Zn (0.0000, 0.5000, 0.5000)  4 Sr 3.23, 4 Li 3.23, 4 Zn 3.46
Zn (0.5000, 0.0000, 0.5000)  4 Sr 3.23, 4 Li 3.23, 4 Zn 3.46



# 10
Density functional theory data (PBE) for an optimized crystal structure of SrLi2Zn.

calculated total energy: -14.1 eV per cell

abc: 4.2975 4.2975 11.5715
angles: 90.00 90.00 90.00
With the nearest neighbours (Å) after each atom.
Fractional positions:
Sr (0.2500, 0.2500, 0.2385)  4 Zn 3.26, 5 Li 3.53-3.63
Sr (0.7500, 0.7500, 0.7615)  4 Zn 3.26, 5 Li 3.53-3.63
Li (0.2500, 0.2500, 0.9333)  1 Zn 3.18, 4 Li 3.41, 1 Sr 3.53
Li (0.2500, 0.7500, 0.5000)  4 Zn 2.82, 4 Li 3.04
Li (0.7500, 0.2500, 0.5000)  4 Zn 2.82, 4 Li 3.04
Li (0.7500, 0.7500, 0.0667)  1 Zn 3.18, 4 Li 3.41, 1 Sr 3.53
Zn (0.2500, 0.2500, 0.6584)  4 Li 2.82
Zn (0.7500, 0.7500, 0.3416)  4 Li 2.82



# 11
Density functional theory data (PBE) for an optimized crystal structure of Sr16Li12Zn.

calculated total energy: -49.8 eV per cell

abc: 10.9842 10.9842 11.1857
angles: 106.01 106.01 106.29
With the nearest neighbours (Å) after each atom.
Fractional positions:
Sr (0.0000, 0.0000, 0.0000)  9 Li 3.47-3.82
Sr (0.0028, 0.6229, 0.0009)  8 Li 3.59-4.00, 1 Sr 3.80
Sr (0.0038, 0.6526, 0.4268)  5 Li 3.63-4.02, 3 Sr 3.75-4.06
Sr (0.0314, 0.4027, 0.6513)  1 Zn 3.58, 4 Li 3.69-4.00
Sr (0.0350, 0.0350, 0.6448)  1 Zn 3.60, 8 Li 3.87-4.02
Sr (0.2897, 0.2897, 0.3340)  6 Li 3.67-4.02, 3 Sr 3.93-4.05
Sr (0.2971, 0.6796, 0.3126)  6 Sr 3.75-4.06, 4 Li 3.80-3.99
Sr (0.3964, 0.6341, 0.6569)  3 Li 3.46-3.81, 1 Zn 3.65
Sr (0.4027, 0.0314, 0.6513)  1 Zn 3.58, 4 Li 3.69-4.00
Sr (0.4126, 0.6396, 0.0110)  1 Zn 3.45, 2 Li 3.53-3.74
Sr (0.6229, 0.0028, 0.0009)  8 Li 3.59-4.00, 1 Sr 3.80
Sr (0.6341, 0.3964, 0.6569)  3 Li 3.46-3.81, 1 Zn 3.65
Sr (0.6377, 0.6377, 0.4019)  3 Li 3.48-3.81, 2 Sr 3.79
Sr (0.6396, 0.4126, 0.0110)  1 Zn 3.45, 2 Li 3.53-3.74
Sr (0.6526, 0.0038, 0.4268)  5 Li 3.63-4.02, 3 Sr 3.75-4.06
Sr (0.6796, 0.2971, 0.3126)  6 Sr 3.75-4.06, 4 Li 3.80-3.99
Li (0.1328, 0.9427, 0.3229)  3 Li 3.11-3.34
Li (0.1618, 0.3401, 0.9845)  3 Li 3.13-3.30
Li (0.2127, 0.8265, 0.8281)  3 Li 3.14-3.28
Li (0.3365, 0.9626, 0.1581)  3 Li 3.27-3.30
Li (0.3401, 0.1618, 0.9845)  3 Li 3.13-3.30
Li (0.7034, 0.8901, 0.7059)  3 Li 3.14-3.34, 1 Sr 3.48
Li (0.7089, 0.7089, 0.9019)  3 Li 3.07-3.34
Li (0.8136, 0.8136, 0.2100)  3 Li 3.07-3.11
Li (0.8265, 0.2127, 0.8281)  3 Li 3.14-3.28
Li (0.8901, 0.7034, 0.7059)  3 Li 3.14-3.34, 1 Sr 3.48
Li (0.9427, 0.1328, 0.3229)  3 Li 3.11-3.34
Li (0.9626, 0.3365, 0.1581)  3 Li 3.27-3.30
Zn (0.3377, 0.3377, 0.7528)  7 Sr 3.45-3.65, 2 Li 3.63



# 12
Density functional theory data (PBE) for an optimized crystal structure of Sr2Li4Zn.

calculated total energy: -11.8 eV per cell

abc: 9.2488 9.2488 9.2488
angles: 148.56 148.56 45.06
With the nearest neighbours (Å) after each atom.
Fractional positions:
Sr (0.1456, 0.1456, 0.0000)  9 Li 3.53-3.54
Sr (0.8544, 0.8544, 0.0000)  9 Li 3.53-3.54
Li (0.0000, 0.5000, 0.5000)  2 Zn 2.51
Li (0.3523, 0.3523, 0.0000)  1 Zn 2.52
Li (0.5000, 0.0000, 0.5000)  2 Zn 2.51
Li (0.6477, 0.6477, 0.0000)  1 Zn 2.52
Zn (0.5000, 0.5000, 0.0000)  6 Li 2.51-2.52



no.,DOS(E_F) (states/eV per atom),M_tot (μB/f.u.)
1,0.45,0.0
2,0.53,0.0
3,0.79,0.0
4,1.01,0.0
5,1.06,0.0
6,0.39,0.0
7,0.71,0.0
8,1.14,0.0
9,0.77,0.0
10,0.77,0.0
11,0.80,0.0
12,0.71,0.0